# 1
Compound: Cu4O
Source: the Alexandria database
Functional: PBE-GGA
Structure: optimized geometry

Space group: Pm-3m
Formation energy without anion corrections in eV/atom: 0.080

Lattice parameters (Å, degrees): 3.950 3.950 3.950 90.00 90.00 90.00
Sites, in units of the cell vectors:
Cu 0.000 0.500 0.500
Cu 0.500 0.500 0.000
Cu 0.000 0.000 0.000
Cu 0.500 0.000 0.500
O 0.500 0.500 0.500


# 2
Compound: Nb
Source: the Alexandria database
Functional: PBE-GGA
Structure: optimized geometry

Formation enthalpy at 0 K in eV/atom: 0.12
Excess energy over the best structure of this formula in the dataset in meV/atom: 122.9
Space group: Fddd

Lattice parameters (Å, degrees): 3.045 3.045 5.126 97.05 97.05 125.93
Sites, in units of the cell vectors:
Nb 0.875 0.125 0.750
Nb 0.125 0.875 0.250


# 3
Compound: Er4InPt
Source: the Alexandria database
Functional: PBE-GGA
Structure: optimized geometry

Formation enthalpy at 0 K in eV/atom: -0.44
Excess energy over the best structure of this formula in the dataset in meV/atom: 250.3
Space group: P2_1/c

Lattice parameters (Å, degrees): 6.899 7.027 7.438 90.00 92.02 90.00
Sites, in units of the cell vectors:
Er 0.123 0.358 0.820
Er 0.377 0.858 0.180
Er 0.672 0.661 0.644
Er 0.828 0.161 0.356
Er 0.623 0.142 0.820
Er 0.877 0.642 0.180
Er 0.328 0.339 0.356
Er 0.172 0.839 0.644
In 0.000 0.000 0.000
In 0.500 0.500 0.000
Pt 0.500 0.000 0.500
Pt 0.000 0.500 0.500


# 4
Compound: RbNa2Pb6
Source: the Alexandria database
Functional: PBE-GGA
Structure: optimized geometry

Formation enthalpy at 0 K in eV/atom: -0.02
Space group: Immm

Lattice parameters (Å, degrees): 5.362 8.324 9.159 117.03 107.02 90.00
Sites, in units of the cell vectors:
Pb 0.793 0.989 0.587
Pb 0.207 0.402 0.413
Pb 0.793 0.598 0.587
Pb 0.207 0.011 0.413
Pb 0.000 0.820 0.000
Pb 0.000 0.180 0.000
Rb 0.500 0.500 0.000
Na 0.385 0.885 0.770
Na 0.615 0.115 0.230


# 5
Compound: LaVSnPd2
Source: the Alexandria database
Functional: PBE-GGA
Structure: optimized geometry

Formation enthalpy at 0 K in eV/atom: 0.93
Space group: P4/mmm

Lattice parameters (Å, degrees): 5.104 5.154 5.104 90.00 90.00 90.00
Sites, in units of the cell vectors:
Sn 0.500 0.500 0.500
Pd 0.500 0.000 0.000
Pd 0.000 0.000 0.500
La 0.000 0.000 0.000
V 0.000 0.500 0.000


# 6
Compound: YTcOs2
Source: the Alexandria database
Functional: PBE-GGA
Structure: optimized geometry

Formation enthalpy at 0 K in eV/atom: 0.30
Excess energy over the best structure of this formula in the dataset in meV/atom: 120.6
Space group: Pm

Lattice parameters (Å, degrees): 4.364 2.933 5.618 75.13 90.00 90.00
Sites, in units of the cell vectors:
Os 0.000 0.176 0.021
Os 0.500 0.058 0.264
Tc 0.000 0.470 0.438
Y 0.500 0.796 0.776


# 7
Compound: Y2Ga3AgPt4
Source: the Alexandria database
Functional: PBE-GGA
Structure: optimized geometry

Formation enthalpy at 0 K in eV/atom: -0.85
Space group: P-4m2

Lattice parameters (Å, degrees): 4.018 4.018 11.803 90.00 90.00 90.00
Sites, in units of the cell vectors:
Y 0.000 0.500 0.749
Y 0.500 0.000 0.251
Ag 0.500 0.500 0.500
Ga 0.000 0.500 0.130
Ga 0.500 0.000 0.870
Ga 0.000 0.000 0.500
Pt 0.500 0.500 0.000
Pt 0.000 0.000 0.000
Pt 0.000 0.500 0.338
Pt 0.500 0.000 0.662


# 8
Compound: DyYLuIn
Source: the Alexandria database
Functional: PBE-GGA
Structure: optimized geometry

Formation enthalpy at 0 K in eV/atom: -0.15
Space group: F-43m

Lattice parameters (Å, degrees): 5.421 5.421 5.421 60.00 60.00 60.00
Sites, in units of the cell vectors:
In 0.750 0.750 0.750
Lu 0.250 0.250 0.250
Dy 0.000 0.000 0.000
Y 0.500 0.500 0.500


# 9
Compound: YIn3Pd3
Source: the Alexandria database
Functional: PBE-GGA
Structure: optimized geometry

Formation enthalpy at 0 K in eV/atom: 0.01
Space group: Pm-3n

Lattice parameters (Å, degrees): 7.250 7.250 7.250 90.00 90.00 90.00
Sites, in units of the cell vectors:
In 0.250 0.000 0.500
In 0.000 0.500 0.250
In 0.500 0.250 0.000
In 0.500 0.750 0.000
In 0.000 0.500 0.750
In 0.750 0.000 0.500
Pd 0.000 0.250 0.500
Pd 0.000 0.750 0.500
Pd 0.500 0.000 0.250
Pd 0.500 0.000 0.750
Pd 0.750 0.500 0.000
Pd 0.250 0.500 0.000
Y 0.000 0.000 0.000
Y 0.500 0.500 0.500


# 10
Compound: Hf2Be3Ga
Source: the Alexandria database
Functional: PBE-GGA
Structure: optimized geometry

Formation enthalpy at 0 K in eV/atom: -0.30
Excess energy over the best structure of this formula in the dataset in meV/atom: 6.2
Space group: Fmmm

Lattice parameters (Å, degrees): 5.061 5.061 7.466 105.87 105.87 101.13
Sites, in units of the cell vectors:
Be 0.675 0.163 0.838
Be 0.163 0.675 0.838
Be 0.837 0.837 0.675
Be 0.163 0.163 0.325
Be 0.837 0.325 0.162
Be 0.325 0.837 0.162
Ga 0.666 0.666 0.331
Ga 0.334 0.334 0.669
Hf 0.242 0.242 0.000
Hf 0.750 0.250 0.500
Hf 0.250 0.750 0.500
Hf 0.758 0.758 0.000


# 11
Compound: Pm5Ho4Sc2
Source: the Alexandria database
Functional: PBE-GGA
Structure: optimized geometry

Formation enthalpy at 0 K in eV/atom: 0.08
Excess energy over the best structure of this formula in the dataset in meV/atom: 0.0
Space group: P2/m

Lattice parameters (Å, degrees): 3.504 8.782 11.341 86.11 90.00 90.00
Sites, in units of the cell vectors:
Ho 0.500 0.737 0.444
Ho 0.500 0.165 0.122
Ho 0.500 0.835 0.878
Ho 0.500 0.263 0.556
Sc 0.000 0.940 0.632
Sc 0.000 0.060 0.368
Pm 0.000 0.569 0.695
Pm 0.000 0.186 0.838
Pm 0.000 0.431 0.305
Pm 0.000 0.814 0.162
Pm 0.000 0.500 0.000


# 12
Compound: LiPtO3
Source: the Alexandria database
Functional: PBE-GGA
Structure: optimized geometry

Space group: R-3
Formation energy without anion corrections in eV/atom: -0.885

Lattice parameters (Å, degrees): 5.252 5.252 5.616 62.12 62.12 60.00
Sites, in units of the cell vectors:
Li 0.132 0.132 0.605
Li 0.868 0.868 0.395
Pt 0.337 0.337 0.989
Pt 0.663 0.663 0.011
O 0.068 0.721 0.769
O 0.558 0.932 0.231
O 0.932 0.279 0.231
O 0.442 0.068 0.769
O 0.721 0.442 0.769
O 0.279 0.558 0.231


# 13
Compound: DyY2InO
Source: the Alexandria database
Functional: PBE-GGA
Structure: optimized geometry

Space group: P4/mmm
Formation energy without anion corrections in eV/atom: -1.431

Lattice parameters (Å, degrees): 4.771 4.803 4.803 90.00 90.00 90.00
Sites, in units of the cell vectors:
Dy 0.500 0.000 0.000
O 0.000 0.000 0.000
In 0.500 0.500 0.500
Y 0.000 0.000 0.500
Y 0.000 0.500 0.000


# 14
Compound: Y2RuSe
Source: the Alexandria database
Functional: PBE-GGA
Structure: optimized geometry

Space group: P4mm
Formation energy without anion corrections in eV/atom: -0.830

Lattice parameters (Å, degrees): 4.073 4.076 5.817 90.00 90.00 90.00
Sites, in units of the cell vectors:
Y 0.000 0.000 0.927
Y 0.500 0.500 0.352
Ru 0.000 0.000 0.370
Se 0.500 0.500 0.851


# 15
Compound: Tb4NdTh4
Source: the Alexandria database
Functional: PBE-GGA
Structure: optimized geometry

Formation enthalpy at 0 K in eV/atom: 0.04
Space group: I4/mmm

Lattice parameters (Å, degrees): 5.059 8.007 8.007 84.27 71.58 71.58
Sites, in units of the cell vectors:
Th 0.000 0.663 0.337
Th 0.337 0.663 0.663
Th 0.663 0.337 0.337
Th 0.000 0.337 0.663
Tb 0.670 0.660 0.000
Tb 0.330 0.340 0.000
Tb 0.670 0.000 0.660
Tb 0.330 0.000 0.340
Nd 0.000 0.000 0.000


# 16
Compound: Tm12GaCo6
Source: the Alexandria database
Functional: PBE-GGA
Structure: optimized geometry

Formation enthalpy at 0 K in eV/atom: -0.14
Excess energy over the best structure of this formula in the dataset in meV/atom: 135.7
Space group: R-3

Lattice parameters (Å, degrees): 8.178 8.178 8.178 108.52 108.52 108.52
Sites, in units of the cell vectors:
Tm 0.148 0.388 0.450
Tm 0.332 0.035 0.858
Tm 0.852 0.612 0.550
Tm 0.550 0.852 0.612
Tm 0.035 0.858 0.332
Tm 0.965 0.142 0.668
Tm 0.668 0.965 0.142
Tm 0.612 0.550 0.852
Tm 0.450 0.148 0.388
Tm 0.858 0.332 0.035
Tm 0.142 0.668 0.965
Tm 0.388 0.450 0.148
Co 0.362 0.708 0.787
Co 0.638 0.292 0.213
Co 0.292 0.213 0.638
Co 0.213 0.638 0.292
Co 0.708 0.787 0.362
Co 0.787 0.362 0.708
Ga 0.000 0.000 0.000


# 17
Compound: PrHo3Hg2
Source: the Alexandria database
Functional: PBE-GGA
Structure: optimized geometry

Formation enthalpy at 0 K in eV/atom: -0.26
Excess energy over the best structure of this formula in the dataset in meV/atom: 87.1
Space group: C2/m

Lattice parameters (Å, degrees): 5.353 9.493 8.885 125.05 90.00 106.38
Sites, in units of the cell vectors:
Hg 0.775 0.550 0.159
Hg 0.225 0.450 0.841
Hg 0.491 0.983 0.151
Hg 0.509 0.017 0.849
Ho 0.618 0.236 0.710
Ho 0.382 0.764 0.290
Ho 0.306 0.612 0.611
Ho 0.936 0.872 0.595
Ho 0.694 0.388 0.389
Ho 0.064 0.128 0.405
Pr 0.132 0.265 0.077
Pr 0.868 0.735 0.923


# 18
Compound: MnFeGe2
Source: the Alexandria database
Functional: PBE-GGA
Structure: optimized geometry

Formation enthalpy at 0 K in eV/atom: 0.06
Excess energy over the best structure of this formula in the dataset in meV/atom: 17.1
Space group: Fm-3m

Lattice parameters (Å, degrees): 4.136 4.136 4.136 60.00 60.00 60.00
Sites, in units of the cell vectors:
Ge 0.250 0.250 0.250
Ge 0.750 0.750 0.750
Fe 0.500 0.500 0.500
Mn 0.000 0.000 0.000


# 19
Compound: ZnSb2Te2
Source: the Alexandria database
Functional: PBE-GGA
Structure: optimized geometry

Excess energy over the best structure of this formula in the dataset in meV/atom: 257.1
Space group: I4/mmm
Formation energy without anion corrections in eV/atom: 0.347

Lattice parameters (Å, degrees): 7.107 7.107 7.107 132.95 132.95 68.73
Sites, in units of the cell vectors:
Sb 0.750 0.250 0.500
Sb 0.250 0.750 0.500
Zn 0.000 0.000 0.000
Te 0.338 0.338 0.000
Te 0.662 0.662 0.000


# 20
Compound: CaIn6Se8
Source: the Alexandria database
Functional: PBE-GGA
Structure: optimized geometry

Space group: R-3
Formation energy without anion corrections in eV/atom: -0.572

Lattice parameters (Å, degrees): 7.554 7.554 7.554 90.92 90.92 90.92
Sites, in units of the cell vectors:
Se 0.171 0.832 0.316
Se 0.316 0.171 0.832
Se 0.324 0.324 0.324
Se 0.829 0.168 0.684
Se 0.684 0.829 0.168
Se 0.832 0.316 0.171
Se 0.168 0.684 0.829
Se 0.676 0.676 0.676
Ca 0.000 0.000 0.000
In 0.617 0.386 0.881
In 0.614 0.119 0.383
In 0.119 0.383 0.614
In 0.881 0.617 0.386
In 0.383 0.614 0.119
In 0.386 0.881 0.617


# 21
Compound: VSbOsRh2
Source: the Alexandria database
Functional: PBE-GGA
Structure: optimized geometry

Space group: P4/mmm
Formation energy without anion corrections in eV/atom: 1.019

Lattice parameters (Å, degrees): 4.799 4.477 4.799 90.00 90.00 90.00
Sites, in units of the cell vectors:
Rh 0.500 0.000 0.000
Rh 0.000 0.000 0.500
V 0.000 0.500 0.000
Sb 0.500 0.500 0.500
Os 0.000 0.000 0.000


# 22
Compound: Er6Te5Se
Source: the Alexandria database
Functional: PBE-GGA
Structure: optimized geometry

Space group: C2/m
Formation energy without anion corrections in eV/atom: -1.306

Lattice parameters (Å, degrees): 7.385 8.556 7.433 106.84 99.53 125.12
Sites, in units of the cell vectors:
Te 0.337 0.337 0.674
Te 0.321 0.821 0.643
Te 0.000 0.500 0.000
Te 0.663 0.663 0.326
Te 0.679 0.179 0.357
Er 0.541 0.782 0.000
Er 0.149 0.376 0.303
Er 0.851 0.624 0.697
Er 0.459 0.218 0.000
Er 0.846 0.073 0.697
Er 0.154 0.927 0.303
Se 0.000 0.000 0.000


# 23
Compound: CeYMg6
Source: the Alexandria database
Functional: PBE-GGA
Structure: optimized geometry

Formation enthalpy at 0 K in eV/atom: -0.01
Excess energy over the best structure of this formula in the dataset in meV/atom: 27.5
Space group: P4/mmm

Lattice parameters (Å, degrees): 6.731 6.731 4.574 90.00 90.00 89.98
Sites, in units of the cell vectors:
Mg 0.877 0.123 0.000
Mg 0.373 0.627 0.000
Mg 0.125 0.375 0.500
Mg 0.625 0.875 0.500
Mg 0.373 0.123 0.000
Mg 0.877 0.627 0.000
Ce 0.625 0.375 0.500
Y 0.125 0.875 0.500


# 24
Compound: HfTi5Os6
Source: the Alexandria database
Functional: PBE-GGA
Structure: optimized geometry

Formation enthalpy at 0 K in eV/atom: -0.69
Space group: Immm

Lattice parameters (Å, degrees): 4.419 6.234 7.646 114.06 106.80 90.00
Sites, in units of the cell vectors:
Hf 0.000 0.000 0.000
Os 0.831 0.578 0.662
Os 0.500 0.257 0.000
Os 0.500 0.743 0.000
Os 0.169 0.916 0.338
Os 0.169 0.422 0.338
Os 0.831 0.084 0.662
Ti 0.667 0.667 0.334
Ti 0.000 0.500 0.000
Ti 0.332 0.832 0.663
Ti 0.333 0.333 0.666
Ti 0.668 0.168 0.337